(1)
# Tb6PrHo2Sc

Crystalline Tb6PrHo2Sc at its relaxed geometry (GGA-PBE, Alexandria).

Geometry as POSCAR:
```
Tb6PrHo2Sc
1.0
4.603 -7.489 0.000
4.603 7.489 0.000
-0.809 0.000 9.213
Tb Pr Ho Sc
12 2 4 2
Direct
0.004 0.444 0.809
0.127 0.763 0.555
0.237 0.873 0.945
0.289 0.516 0.390
0.444 0.004 0.309
0.484 0.711 0.110
0.516 0.289 0.890
0.556 0.996 0.691
0.711 0.484 0.610
0.763 0.127 0.055
0.873 0.237 0.445
0.996 0.556 0.191
0.029 0.971 0.250
0.971 0.029 0.750
0.207 0.312 0.053
0.312 0.207 0.553
0.688 0.793 0.447
0.793 0.688 0.947
0.419 0.581 0.750
0.581 0.419 0.250
```

SG: No. 15
Fermi-level density of states, states/eV/atom: 1.41
Calculated volume, Å³/atom: 31.759
ΔE_f, eV per formula unit: 1.3


(2)
# TbPr2Ho2Sc2

Crystalline TbPr2Ho2Sc2 at its relaxed geometry (GGA-PBE, Alexandria).

Geometry as POSCAR:
```
TbPr2Ho2Sc2
1.0
5.715 -1.724 0.000
5.715 1.724 0.000
-3.770 0.000 11.026
Tb Pr Ho Sc
1 2 2 2
Direct
0.000 0.000 0.000
0.328 0.328 0.410
0.672 0.672 0.590
0.456 0.456 0.735
0.544 0.544 0.265
0.229 0.229 0.871
0.771 0.771 0.129
```

SG: No. 12
Fermi-level density of states, states/eV/atom: 1.70
Calculated volume, Å³/atom: 31.034
ΔE_f, eV per formula unit: 0.8